# KNpGaCl6 (PBE, relaxed)
data_KNpGaCl6
_symmetry_space_group_name_H-M 'P 42 n m'
_symmetry_Int_Tables_number 102
_symmetry_space_group_name_Hall 'P 4n -2n'
_cell_length_a 6.903
_cell_length_b 6.903
_cell_length_c 13.163
_cell_angle_alpha 90.00
_cell_angle_beta 90.00
_cell_angle_gamma 90.00
loop_
_atom_site_label
_atom_site_fract_x
_atom_site_fract_y
_atom_site_fract_z
K1 0.000 0.000 0.000
Np1 0.000 0.000 0.663
Ga1 0.000 0.000 0.335
Cl1 0.177 0.177 0.511
Cl2 0.190 0.190 0.804
Cl3 0.232 0.232 0.168
# M_tot = 3.00 μB per formula unit
# Formation energy (no corrections) = -1539.5 meV/atom
# DOS at the Fermi energy = 7.778 states/eV/cell

# KGaClO2 (PBE, relaxed)
data_KGaClO2
_symmetry_space_group_name_H-M 'P 4/m m m'
_symmetry_Int_Tables_number 123
_symmetry_space_group_name_Hall '-P 4 2'
_cell_length_a 3.967
_cell_length_b 3.967
_cell_length_c 5.249
_cell_angle_alpha 90.00
_cell_angle_beta 90.00
_cell_angle_gamma 90.00
loop_
_atom_site_label
_atom_site_fract_x
_atom_site_fract_y
_atom_site_fract_z
K1 0.000 0.000 0.000
Ga1 0.500 0.500 0.500
Cl1 0.500 0.500 0.000
O1 0.000 0.500 0.500
# M_tot = 1.00 μB per formula unit
# Formation energy (no corrections) = -1155.7 meV/atom
# DOS at the Fermi energy = 0.890 states/eV/cell

# KGaPCl2 (PBE, relaxed)
data_KGaPCl2
_symmetry_space_group_name_H-M 'P 4/m m m'
_symmetry_Int_Tables_number 123
_symmetry_space_group_name_Hall '-P 4 2'
_cell_length_a 5.861
_cell_length_b 5.861
_cell_length_c 5.947
_cell_angle_alpha 90.00
_cell_angle_beta 90.00
_cell_angle_gamma 90.00
loop_
_atom_site_label
_atom_site_fract_x
_atom_site_fract_y
_atom_site_fract_z
K1 0.000 0.000 0.000
Ga1 0.500 0.500 0.500
P1 0.000 0.000 0.500
Cl1 0.000 0.500 0.000
# M_tot = 3.05 μB per formula unit
# Formation energy (no corrections) = 62.2 meV/atom
# Relative energy among the computed polymorphs = 678 meV per atom